(1)
Density functional theory data (PBE) for a geometry-optimized LaZrAg structure.

a b c (Å): 6.835 6.835 6.835
angles (deg): 150.41 150.41 42.33
Atoms (fractional coordinates):
La 0.000 0.000 0.000
Zr 0.312 0.312 0.000
Ag 0.685 0.685 0.000

Summary:
E above lowest polymorph, meV per atom: 60
V, Å³ per cell: 78
SG: I4mm, No. 107
Formation enthalpy at 0 K, kJ/mol of formula units: -3

---

(2)
Density functional theory data (PBE) for a geometry-optimized LaZrAg3 structure.

a b c (Å): 5.316 5.316 5.316
angles (deg): 90.00 90.00 90.00
Atoms (fractional coordinates):
La 0.000 0.000 0.000
Zr 0.500 0.500 0.500
Ag 0.000 0.000 0.500
Ag 0.000 0.500 0.000
Ag 0.500 0.000 0.000

Summary:
E above lowest polymorph, meV per atom: 637
V, Å³ per cell: 150
SG: Pm-3m, No. 221
Formation enthalpy at 0 K, kJ/mol of formula units: 556

---

(3)
Density functional theory data (PBE) for a geometry-optimized LaZrAg structure.

a b c (Å): 6.430 6.430 5.547
angles (deg): 90.00 90.00 134.85
Atoms (fractional coordinates):
La 0.207 0.793 0.750
La 0.793 0.207 0.250
Zr 0.500 0.500 0.000
Zr 0.500 0.500 0.500
Ag 0.077 0.923 0.250
Ag 0.923 0.077 0.750

Summary:
E above lowest polymorph, meV per atom: 72
V, Å³ per cell: 163
SG: Cmcm, No. 63
Formation enthalpy at 0 K, kJ/mol of formula units: 1